DFT (PBE-GGA) results for a geometry-optimized Pm6SiGe2Se3 structure.

The uncorrected formation energy comes out at -1.37 eV/atom. The calculation puts the volume at 27.07 Å³ per atom.

The structure belongs to space group C2/m (No. 12); the cell edges are 18.547, 4.239 and 8.515 Å and the angles 90.00°, 104.00° and 90.00°. The asymmetric unit holds Pm at (0.002, 0.000, 0.243), Pm at (0.164, 0.500, 0.088), Pm at (0.168, 0.500, 0.578), Si at (0.000, 0.500, 0.000), Ge at (0.167, 0.000, 0.333), Se at (0.000, 0.500, 0.500) and Se at (0.167, 0.000, 0.833).